Record 1
Compound: LuCoReBi
Source: OQMD
Functional: PBE
Structure: relaxed

The calculation puts the volume at 289.59 Å³ per cell. For the total energy, the calculation gives -106.6 eV for the cell shown. The energy above the most stable polymorph in this dataset comes out at 0 meV per atom.

It has space group F-43m (No. 216), with a = 6.6160 Å, b = 6.6160 Å, c = 6.6160 Å, α = 90.00°, β = 90.00° and γ = 90.00°. The inequivalent atoms are Lu at (0.0000, 0.0000, 0.0000), Co at (0.2500, 0.2500, 0.7500), Re at (0.2500, 0.2500, 0.2500) and Bi at (0.0000, 0.0000, 0.5000).



Record 2
Compound: NaNdHgSe3
Source: OQMD
Functional: PBE
Structure: relaxed

The calculation puts the volume at 636.31 Å³ per cell. For the total energy, the calculation gives -93.3 eV for the cell shown. The energy above the most stable polymorph in this dataset comes out at 31 meV per atom.

It has space group Pnma (No. 62), with a = 8.4499 Å, b = 4.2830 Å, c = 17.5824 Å, α = 90.00°, β = 90.00° and γ = 90.00°. The inequivalent atoms are Na at (0.0870, 0.2500, 0.1959), Nd at (0.2206, 0.2500, 0.9618), Hg at (0.0458, 0.2500, 0.6661), Se at (0.0111, 0.2500, 0.4258), Se at (0.1254, 0.7500, 0.0661) and Se at (0.2122, 0.2500, 0.7904).